# Ac6Ru3Cl2, relaxed, DFT PBE
data_Ac6Ru3Cl2
_cell_length_a 7.4663
_cell_length_b 7.4579
_cell_length_c 8.2589
_cell_angle_alpha 81.18
_cell_angle_beta 72.15
_cell_angle_gamma 59.96
_space_group_name_H-M_alt 'P 1'
_space_group_IT_number 1
loop_
_space_group_symop_operation_xyz
'x,y,z'
loop_
_atom_site_label
_atom_site_fract_x
_atom_site_fract_y
_atom_site_fract_z
Ac1 0.9353 0.6619 0.2039
Ac2 0.4028 0.6619 0.7961
Ac3 0.7397 0.0000 0.8004
Ac4 0.5972 0.3381 0.2039
Ac5 0.0647 0.3381 0.7961
Ac6 0.2603 0.0000 0.1996
Ru1 0.0000 0.0000 0.0000
Ru2 0.3294 0.3413 0.0000
Ru3 0.6706 0.6587 0.0000
Cl1 0.1643 0.6713 0.5000
Cl2 0.8357 0.3287 0.5000
# * formation energy (no corrections): -0.69 eV per atom
# * uncorrected energy: -63.7 eV per cell
# * crystal system: monoclinic